The following is a GGA-PBE calculation of a relaxed structure of FeCo, from Alexandria via LeMat-Bulk.

Computed properties:
Total magnetic moment in μB/cell: 17.47
Calculated volume in Å³ per cell: 91
Formation energy in eV/atom: 0.00
Space-group type: P4_2/mmc, No. 131

Cell lengths 4.0206, 4.0206, 5.6557 Å; angles 90.00, 90.00, 90.00 degrees
Closest atoms and distances in Å follow each position.
Fractional positions:
Fe 0.0000 0.0000 0.2500  4 Fe 2.46, 4 Co 2.46
Fe 0.0000 0.0000 0.7500  4 Fe 2.46, 4 Co 2.46
Fe 0.0000 0.5000 0.0000  4 Fe 2.46, 4 Co 2.46
Fe 0.5000 0.0000 0.5000  4 Fe 2.46, 4 Co 2.46
Co 0.0000 0.5000 0.5000  4 Fe 2.46, 4 Co 2.46
Co 0.5000 0.0000 0.0000  4 Fe 2.46, 4 Co 2.46
Co 0.5000 0.5000 0.2500  4 Fe 2.46, 4 Co 2.46
Co 0.5000 0.5000 0.7500  4 Fe 2.46, 4 Co 2.46